An optimized crystal structure of BeMoN2O. Source: Alexandria via LeMat-Bulk, functional PBE with a Hubbard U.

## Properties
The value obtained for the uncorrected energy is -5.8924 eV/atom. Its spin magnetization is 0.129 μB per formula unit.

a b c (Å): 3.970 3.970 3.814
angles (deg): 90.00 90.00 90.00
Element x y z (fractional)
Be  0.500  0.500  0.500
Mo  0.000  0.000  0.000
O  0.000  0.000  0.500
N  0.000  0.500  0.000
N  0.500  0.000  0.000